The following is a DFT calculation (PBE) of a geometry-optimized Zn2AgTe2 structure.

Cell and atoms, written as CIF:
```
data_Zn2AgTe2
_space_group_name_H-M_alt 'I 4/m m m'
_space_group_IT_number 139
_space_group_name_Hall '-I 4 2'
_cell_length_a 4.121
_cell_length_b 4.121
_cell_length_c 14.618
_cell_angle_alpha 90.00
_cell_angle_beta 90.00
_cell_angle_gamma 90.00
loop_
_atom_site_label
_atom_site_type_symbol
_atom_site_fract_x
_atom_site_fract_y
_atom_site_fract_z
Zn1 Zn 0.000 0.500 0.250
Ag1 Ag 0.000 0.000 0.000
Te1 Te 0.000 0.000 0.376
```

The following is a DFT calculation (PBE) of a geometry-optimized ZrAg2Te structure.

Cell and atoms, written as CIF:
```
data_ZrAg2Te
_space_group_name_H-M_alt 'R -3 m'
_space_group_IT_number 166
_space_group_name_Hall '-R 3 2"'
_cell_length_a 3.1346
_cell_length_b 3.1346
_cell_length_c 31.4229
_cell_angle_alpha 90.00
_cell_angle_beta 90.00
_cell_angle_gamma 120.00
loop_
_atom_site_label
_atom_site_type_symbol
_atom_site_fract_x
_atom_site_fract_y
_atom_site_fract_z
Zr1 Zr 0.0000 0.0000 0.0000
Ag1 Ag 0.0000 0.0000 0.2555
Te1 Te 0.0000 0.0000 0.5000
```

The following is a DFT calculation (PBE) of a geometry-optimized Zr2AgTe structure.

Cell and atoms, written as CIF:
```
data_Zr2AgTe
_space_group_name_H-M_alt 'C m m m'
_space_group_IT_number 65
_space_group_name_Hall '-C 2 2'
_cell_length_a 6.369
_cell_length_b 7.869
_cell_length_c 3.427
_cell_angle_alpha 90.00
_cell_angle_beta 90.00
_cell_angle_gamma 90.00
loop_
_atom_site_label
_atom_site_type_symbol
_atom_site_fract_x
_atom_site_fract_y
_atom_site_fract_z
Zr1 Zr 0.250 0.250 0.000
Ag1 Ag 0.000 0.000 0.500
Te1 Te 0.000 0.500 0.500
```

Electronic total energy (eV/atom)
-2.299, -4.219, -6.080
Energy relative to the elements, uncorrected (meV/atom)
38, 129, -307
Distance to the lowest polymorph of the same formula (meV per atom)
0, 338, 2